A relaxed WSeCl2 crystal. Source: Alexandria via LeMat-Bulk, functional PBEsol.

Cell: 5.660 8.330 2.868 Å, 90.00 90.00 90.00°
Space group Cmmm (No. 65)
Unique sites:
W (0.000, 0.000, 0.000) x2
Se (0.000, 0.500, 0.000) x2
Cl (0.250, 0.250, 0.500) x4

Computed properties:
- raw total energy (eV/atom) = -4.438
- energy relative to the elements, uncorrected (eV per atom) = 0.9804
- DOS(E_F) (states/eV/f.u.) = 4.00
- offset from the most stable computed form (meV/atom) = 1390
- theoretical density (Mg/m³) = 8.2